# 1
! BaCuRe2, optimized geometry, DFT PBE; values from VASP
! DFT total energy: -0.46541 Ry per atom
! formation enthalpy at 0 K: 1.397 eV per atom
! space-group type: P4/mmm
&SYSTEM
  ibrav = 0, nat = 4, ntyp = 3
/
ATOMIC_SPECIES
Cu 63.55 Cu.upf
Re 186.21 Re.upf
Ba 137.33 Ba.upf
CELL_PARAMETERS angstrom
5.3279 0.0000 0.0000
0.0000 3.8876 0.0000
0.0000 0.0000 3.8876
ATOMIC_POSITIONS crystal
Cu 0.5000 0.0000 0.5000
Re 0.0000 0.5000 0.5000
Re 0.0000 0.0000 0.0000
Ba 0.5000 0.5000 0.0000

---

# 2
! BaCu3Re, optimized geometry, DFT PBE; values from VASP
! DFT total energy: -0.19867 Ry per atom
! formation enthalpy at 0 K: 2.629 eV per atom
! space-group type: Pm-3m
&SYSTEM
  ibrav = 0, nat = 5, ntyp = 3
/
ATOMIC_SPECIES
Cu 63.55 Cu.upf
Re 186.21 Re.upf
Ba 137.33 Ba.upf
CELL_PARAMETERS angstrom
4.9520 0.0000 0.0000
0.0000 4.9520 0.0000
0.0000 0.0000 4.9520
ATOMIC_POSITIONS crystal
Cu 0.0000 0.0000 0.5000
Cu 0.0000 0.5000 0.0000
Cu 0.5000 0.0000 0.0000
Re 0.5000 0.5000 0.5000
Ba 0.0000 0.0000 0.0000